A relaxed structure of Tb2Pr2Sm2Tl, computed with PBE.

**Crystal system**: monoclinic
**ρ**: 7.977 g/cm³
**Formation energy**: 0.051 eV per atom
**SG**: No. 12
**Magnetic moment**: 0.00 μB/f.u.

POSCAR file:
```
Tb2Pr2Sm2Tl
1.0
-3.533 -0.188 0.237
2.530 -4.846 7.335
-0.390 8.212 0.692
Tb Tl Sm Pr
2 1 2 2
Direct
0.434 0.867 0.753 Tb
0.566 0.133 0.247 Tb
0.000 0.000 0.500 Tl
0.220 0.440 0.637 Sm
0.780 0.560 0.363 Sm
0.358 0.716 0.104 Pr
0.642 0.284 0.896 Pr
```

=====

A relaxed structure of HoEr3Tl2, computed with PBE.

**Crystal system**: orthorhombic
**ρ**: 10.549 g/cm³
**Formation energy**: -0.262 eV per atom
**SG**: No. 26
**Magnetic moment**: 0.00 μB/f.u.

POSCAR file:
```
HoEr3Tl2
1.0
-1.657 -4.259 2.148
5.329 -3.346 -2.523
5.181 2.099 8.159
Er Tl Ho
6 4 2
Direct
0.000 0.954 0.042 Er
0.500 0.671 0.187 Er
0.000 0.829 0.689 Er
0.000 0.454 0.958 Er
0.500 0.171 0.813 Er
0.000 0.329 0.311 Er
0.500 0.208 0.133 Tl
0.500 0.708 0.867 Tl
0.000 0.292 0.633 Tl
0.000 0.792 0.367 Tl
0.500 0.547 0.542 Ho
0.500 0.047 0.458 Ho
```

=====

Please write out number 1 again, unchanged.
A relaxed structure of Tb2Pr2Sm2Tl, computed with PBE.

**Crystal system**: monoclinic
**ρ**: 7.977 g/cm³
**Formation energy**: 0.051 eV per atom
**SG**: No. 12
**Magnetic moment**: 0.00 μB/f.u.

POSCAR file:
```
Tb2Pr2Sm2Tl
1.0
-3.533 -0.188 0.237
2.530 -4.846 7.335
-0.390 8.212 0.692
Tb Tl Sm Pr
2 1 2 2
Direct
0.434 0.867 0.753 Tb
0.566 0.133 0.247 Tb
0.000 0.000 0.500 Tl
0.220 0.440 0.637 Sm
0.780 0.560 0.363 Sm
0.358 0.716 0.104 Pr
0.642 0.284 0.896 Pr
```

=====

Which formula does entry 1 have? Tb2Pr2Sm2Tl

=====

Number 2 is which compound? HoEr3Tl2

=====

Number 2 is which compound? HoEr3Tl2